Entry from the Alexandria database: a geometry-optimized Pb2WF2 structure (PBE+U).

Cell: 3.758 3.758 15.171 Å, 90.00 90.00 90.00°
Element x y z (fractional)
Pb1 0.000 0.000 0.138
Pb2 0.000 0.000 0.862
Pb3 0.500 0.500 0.362
Pb4 0.500 0.500 0.638
W1 0.000 0.000 0.500
W2 0.500 0.500 0.000
F1 0.000 0.500 0.250
F2 0.000 0.500 0.750
F3 0.500 0.000 0.250
F4 0.500 0.000 0.750

SG   I4/mmm
Calculated volume   214 Å³ per cell
Energy above the lowest structure with this stoichiometry   0 meV/atom